1.
First-principles (PBE-GGA) data for a relaxed CuHPd2 crystal, as listed in Alexandria via LeMat-Bulk.

The space group is Fm-3m (No. 225) and the conventional cell measures 5.810, 5.810 and 5.810 Å, with angles of 90.00, 90.00 and 90.00 degrees. The asymmetric unit holds Cu at (0.000, 0.000, 0.000), H at (0.000, 0.000, 0.500) and Pd at (0.250, 0.250, 0.250).

The crystal system is cubic. The offset from the most stable computed form comes out at 342.4 meV/atom.

2.
First-principles (PBE-GGA) data for a relaxed CuH4Pd4 crystal, as listed in Alexandria via LeMat-Bulk.

The space group is I4/m (No. 87) and the conventional cell measures 6.585, 6.585 and 3.928 Å, with angles of 90.00, 90.00 and 90.00 degrees. The asymmetric unit holds Cu at (0.000, 0.000, 0.000), H at (0.134, 0.314, 0.000) and Pd at (0.101, 0.295, 0.500).

The crystal system is tetragonal. For the calculated total energy, the calculation gives -4.317 eV/atom.

3.
First-principles (PBE-GGA) data for a relaxed Cu5H12Pd3 crystal, as listed in Alexandria via LeMat-Bulk.

The space group is Ia-3d (No. 230) and the conventional cell measures 10.810, 10.810 and 10.810 Å, with angles of 90.00, 90.00 and 90.00 degrees. The asymmetric unit holds Cu at (0.000, 0.000, 0.000), Cu at (0.000, 0.250, 0.375), H at (0.015, 0.050, 0.653) and Pd at (0.000, 0.250, 0.125).

The crystal system is cubic. For the calculated total energy, the calculation gives -3.601 eV/atom.

4.
First-principles (PBE-GGA) data for a relaxed Cu3H12Pd5 crystal, as listed in Alexandria via LeMat-Bulk.

The space group is Ia-3d (No. 230) and the conventional cell measures 11.005, 11.005 and 11.005 Å, with angles of 90.00, 90.00 and 90.00 degrees. The asymmetric unit holds Cu at (0.000, 0.250, 0.125), H at (0.002, 0.042, 0.657), Pd at (0.000, 0.000, 0.000) and Pd at (0.000, 0.250, 0.375).

The crystal system is cubic. For the calculated total energy, the calculation gives -3.840 eV/atom.

5.
First-principles (PBE-GGA) data for a relaxed Cu2HPd crystal, as listed in Alexandria via LeMat-Bulk.

The space group is R3m (No. 160, hexagonal axes) and the conventional cell measures 2.7295, 2.7295 and 19.6216 Å, with angles of 90.00, 90.00 and 120.00 degrees. The asymmetric unit holds Cu at (0.0000, 0.0000, 0.0000), Cu at (0.0000, 0.0000, 0.2226), H at (0.0000, 0.0000, 0.6123) and Pd at (0.0000, 0.0000, 0.4448).

The crystal system is trigonal. The offset from the most stable computed form comes out at 27.1 meV/atom.

6.
First-principles (PBE-GGA) data for a relaxed Cu2H2Pd crystal, as listed in Alexandria via LeMat-Bulk.

The space group is Cmc2_1 (No. 36) and the conventional cell measures 2.836, 15.555 and 4.077 Å, with angles of 90.00, 90.00 and 90.00 degrees. The asymmetric unit holds Cu at (0.000, 0.041, 0.000), Cu at (0.000, 0.209, 0.002), H at (0.000, 0.197, 0.487), H at (0.000, 0.386, 0.490) and Pd at (0.000, 0.383, 0.001).

The crystal system is orthorhombic. The offset from the most stable computed form comes out at 11.3 meV/atom.

7.
First-principles (PBE-GGA) data for a relaxed Cu2H3Pd2 crystal, as listed in Alexandria via LeMat-Bulk.

The space group is P-1 (No. 2) and the conventional cell measures 2.841, 4.802 and 4.969 Å, with angles of 103.97, 104.33 and 90.75 degrees. The asymmetric unit holds Cu at (0.130, 0.356, 0.279), H at (0.000, 0.000, 0.000), H at (0.185, 0.733, 0.425) and Pd at (0.397, 0.167, 0.782).

The crystal system is triclinic. For the calculated total energy, the calculation gives -4.128 eV/atom.

8.
First-principles (PBE-GGA) data for a relaxed CuH6Pd5 crystal, as listed in Alexandria via LeMat-Bulk.

The space group is C2/m (No. 12) and the conventional cell measures 5.111, 8.713 and 5.055 Å, with angles of 90.00, 110.90 and 90.00 degrees. The asymmetric unit holds Cu at (0.000, 0.000, 0.000), H at (0.224, 0.317, 0.755), H at (0.247, 0.500, 0.290), Pd at (0.000, 0.163, 0.500), Pd at (0.000, 0.331, 0.000) and Pd at (0.000, 0.500, 0.500).

The crystal system is monoclinic. For the calculated total energy, the calculation gives -4.235 eV/atom.

| no. | calculated volume (Å³/f.u.) |
| --- | --- |
| 1 | 49 |
| 2 | 85 |
| 3 | 158 |
| 4 | 167 |
| 5 | 42 |
| 6 | 45 |
| 7 | 64 |
| 8 | 105 |